10
Lattice="4.5116 0.0000 0.0000 0.0000 4.5116 0.0000 -2.2558 -2.2558 15.9852" Properties=species:S:1:pos:R:3 comment="Pr4PuTe5, relaxed, DFT PBE" e_form_raw_ev_per_atom=-1.377 pbc="T T T"
Pr 0.0000 0.0000 12.7492
Pr 2.2558 2.2558 9.6892
Pr 0.0000 0.0000 6.2961
Pr 2.2558 2.2558 3.2360
Pu 0.0000 0.0000 0.0000
Te 0.0000 0.0000 3.1176
Te 2.2558 2.2558 0.0000
Te 2.2558 2.2558 12.8676
Te 0.0000 0.0000 9.5397
Te 2.2558 2.2558 6.4455

---

12
Lattice="4.4616 0.0000 0.0000 0.0000 9.0165 0.3040 -2.2308 -2.6141 9.4323" Properties=species:S:1:pos:R:3 comment="Pr3Pu2ThTe6, relaxed, DFT PBE" e_form_raw_ev_per_atom=-1.262 pbc="T T T"
Pr 2.2308 4.5083 0.1520
Pr 2.2308 -0.2542 6.3619
Pr 0.0000 6.6566 3.3743
Pu 2.2308 4.2646 6.4926
Pu 0.0000 2.1379 3.2436
Th 2.2308 0.0000 0.0000
Te 0.0000 6.4612 6.5630
Te 2.2308 4.3386 3.3624
Te 2.2308 -0.0587 3.1733
Te 0.0000 2.2434 0.1220
Te 2.2308 4.1591 9.6142
Te 0.0000 2.0638 6.3738

---

12
Lattice="4.4482 0.0000 0.0000 0.0000 9.0200 0.1595 -2.2241 -2.7685 9.4489" Properties=species:S:1:pos:R:3 comment="Pr2PuTh3Te6, relaxed, DFT PBE" e_form_raw_ev_per_atom=-1.165 pbc="T T T"
Pr 2.2241 4.1479 6.4185
Pr 0.0000 2.1037 3.1899
Pu 2.2241 0.0000 0.0000
Th 2.2241 4.5100 0.0798
Th 2.2241 -0.3875 6.2567
Th 0.0000 6.6390 3.3518
Te 0.0000 6.3929 6.5120
Te 2.2241 4.3773 3.2450
Te 2.2241 -0.1414 3.0964
Te 2.2241 -0.5590 9.4475
Te 0.0000 6.8106 0.1609
Te 0.0000 1.8742 6.3634

---

12
Lattice="7.9276 -0.0014 0.0002 -3.9630 6.8659 0.0002 -1.3221 -2.2892 8.1394" Properties=species:S:1:pos:R:3 comment="Pr2PuTl3Te6, relaxed, DFT PBE" e_form_raw_ev_per_atom=-0.969 pbc="T T T"
Pr 0.0034 4.5752 0.0002
Pr 3.9612 2.2894 0.0002
Pu 0.0000 0.0000 0.0000
Tl -2.6230 4.5656 4.0698
Tl 5.2655 0.0097 4.0698
Tl 1.3212 2.2877 4.0698
Te 3.9437 2.3240 6.3527
Te 2.6649 4.6142 1.8000
Te -1.3013 2.2514 1.7870
Te 0.0420 4.5773 6.3527
Te -0.0224 -0.0389 6.3397
Te 2.6004 -0.0020 1.7870

---

12
Lattice="7.8546 -0.0005 0.0002 -3.9258 6.8032 0.0002 -1.3100 -2.2683 8.1496" Properties=species:S:1:pos:R:3 comment="PrPu2Tl3Te6, relaxed, DFT PBE" e_form_raw_ev_per_atom=-0.876 pbc="T T T"
Pr 0.0000 0.0000 0.0000
Pu -0.0029 4.5375 0.0002
Pu 3.9317 2.2651 0.0002
Tl -2.6385 4.5472 4.0750
Tl 5.2573 -0.0129 4.0750
Tl 1.3094 2.2672 4.0750
Te 3.9545 2.2174 6.3774
Te 2.5897 4.4840 1.7580
Te -1.3357 2.3169 1.7727
Te -0.0556 4.5334 6.3774
Te 0.0291 0.0504 6.3921
Te 2.6743 0.0009 1.7727

---

12
Lattice="-4.3886 -0.1816 0.5294 -0.2900 -7.4237 -4.9506 3.4224 -3.2078 8.7845" Properties=species:S:1:pos:R:3 comment="Pr2TmPu3Te6, relaxed, DFT PBE" e_form_raw_ev_per_atom=-1.239 pbc="T T T"
Pr -1.5704 -7.2056 2.9956
Pr 0.3143 -3.6076 1.3676
Tm -2.1943 -0.0908 0.2647
Pu -2.3393 -3.8027 -2.2106
Pu -1.4320 -3.4903 5.4180
Pu 0.1758 -7.3229 -1.0547
Te 0.5611 -9.0806 1.5363
Te -1.9621 -5.5516 0.3165
Te -1.8173 -1.7326 2.8270
Te -1.0431 -5.1575 8.0699
Te -0.2131 -5.6556 -3.7066
Te 0.7059 -5.2615 4.0468

---

12
Lattice="4.3449 0.0000 0.0000 0.0000 8.9151 0.1928 -2.1724 -2.7006 9.2758" Properties=species:S:1:pos:R:3 comment="Pr2Tm3PuTe6, relaxed, DFT PBE" e_form_raw_ev_per_atom=-1.269 pbc="T T T"
Pr 2.1724 4.1218 6.2874
Pr 0.0000 2.0927 3.1812
Tm 2.1724 4.4576 0.0964
Tm 2.1724 -0.3337 6.1743
Tm 0.0000 6.5483 3.2944
Pu 2.1724 0.0000 0.0000
Te 0.0000 6.4674 6.3358
Te 2.1724 4.4402 3.1151
Te 2.1724 -0.2529 3.1328
Te 2.1724 -0.4077 9.2433
Te 0.0000 6.6222 0.2253
Te 0.0000 1.7743 6.3536

---

9
Lattice="5.4147 0.0000 0.0000 0.0000 5.4147 0.0000 0.0000 0.0000 11.7161" Properties=species:S:1:pos:R:3 comment="Pr2TmPuTe5, relaxed, DFT PBE" e_form_raw_ev_per_atom=-0.797 pbc="T T T"
Pr 2.7073 2.7073 3.5013
Pr 2.7073 2.7073 8.2148
Tm 0.0000 0.0000 5.8581
Pu 0.0000 0.0000 0.0000
Te 0.0000 2.7073 5.8581
Te 2.7073 0.0000 5.8581
Te 0.0000 0.0000 8.7795
Te 0.0000 0.0000 2.9367
Te 2.7073 2.7073 0.0000

---

12
Lattice="-4.1929 0.6498 -1.0881 -2.2666 -7.6199 4.1839 1.3881 6.5686 7.3905" Properties=species:S:1:pos:R:3 comment="Pr3Tm2PuTe6, relaxed, DFT PBE" e_form_raw_ev_per_atom=-1.313 pbc="T T T"
Pr -3.2298 -3.4851 1.5479
Pr -2.9508 3.6897 4.7578
Pr -2.1206 -4.0912 5.7285
Tm -4.0985 -0.1574 6.8830
Tm -0.9729 -0.2442 3.6033
Pu -2.0964 0.3249 -0.5440
Te -2.5239 -2.2952 8.3553
Te -3.6376 -1.6548 4.2126
Te -2.5475 1.8936 2.1310
Te -0.5644 -1.8183 1.0892
Te -4.5070 1.4168 9.3971
Te -1.4338 1.2533 6.2737

---

12
Lattice="-4.3296 0.7684 0.1932 -1.6070 -8.5335 -2.0720 2.5968 -0.3820 9.5781" Properties=species:S:1:pos:R:3 comment="Pr2Y3PuTe6, relaxed, DFT PBE" e_form_raw_ev_per_atom=-1.335 pbc="T T T"
Pr -2.9471 -5.2958 5.1582
Pr -0.3927 -2.8513 2.5411
Y -2.9683 -3.8825 -0.9394
Y -2.1421 -1.0114 6.1575
Y -1.1977 -7.1357 1.5417
Pu -2.1648 0.3842 0.0966
Te -1.1979 -7.8896 4.5348
Te -2.9748 -4.6654 2.0297
Te -2.1418 -0.2575 3.1645
Te -2.1397 -1.7575 9.1800
Te -1.2001 -6.3896 -1.4808
Te -0.3650 -3.4817 5.6695

---

12
Lattice="4.4223 0.0000 0.0000 0.0000 8.9830 0.2679 -2.2112 -2.6431 9.3869" Properties=species:S:1:pos:R:3 comment="Pr3Y2PuTe6, relaxed, DFT PBE" e_form_raw_ev_per_atom=-1.356 pbc="T T T"
Pr 2.2112 4.4915 0.1339
Pr 2.2112 -0.2733 6.3251
Pr 0.0000 6.6132 3.3296
Y 2.2112 4.2586 6.4957
Y 0.0000 2.0813 3.1591
Pu 2.2112 0.0000 0.0000
Te 0.0000 6.3996 6.5252
Te 2.2112 4.2604 3.3667
Te 2.2112 -0.0597 3.1295
Te 0.0000 2.1918 0.1104
Te 2.2112 4.1481 9.5443
Te 0.0000 2.0795 6.2880

---

12
Lattice="-0.4581 -3.9258 -1.9191 8.6402 -0.0243 -2.0126 -0.1042 -2.2378 9.6321" Properties=species:S:1:pos:R:3 comment="PrY3Pu2Te6, relaxed, DFT PBE" e_form_raw_ev_per_atom=-1.284 pbc="T T T"
Pr -0.2290 -1.9629 -0.9595
Y 4.0911 -1.9750 -1.9658
Y 0.9839 -4.7866 4.5272
Y 7.0940 -1.4013 1.1733
Pu 5.3134 -4.7833 3.4870
Pu 2.7645 -1.4046 2.2134
Te 7.7059 -2.7907 3.8694
Te 4.7248 -3.3711 0.7386
Te 0.3721 -3.3972 1.8310
Te 1.6754 -6.1673 7.1866
Te 6.4026 -0.0206 -1.4861
Te 3.3531 -2.8168 4.9618

---

16
Lattice="-1.9382 -6.6628 5.5239 -0.0415 -5.7114 -6.9036 7.1399 5.0504 1.4767" Properties=species:S:1:pos:R:3 comment="Pr4Y3PuTe8, relaxed, DFT PBE" e_form_raw_ev_per_atom=-1.359 pbc="T T T"
Pr -0.9691 -3.3314 2.7619
Pr 2.6009 -0.8062 3.5003
Pr 0.0000 0.0000 0.0000
Pr 3.5700 2.5252 0.7383
Y -0.9898 -6.1871 -0.6899
Y 2.5801 -3.6619 0.0485
Y 3.5492 -0.3305 -2.7135
Pu -0.0207 -2.8557 -3.4518
Te 6.5666 -0.8543 -2.2670
Te 3.0165 -3.3656 -3.0011
Te 3.1313 -0.6313 0.3372
Te 5.6028 -4.1675 0.4798
Te -0.4425 -3.1564 -0.3829
Te 2.0289 -6.6926 -0.2403
Te 2.1437 -3.9583 3.0981
Te -1.4063 -6.4696 2.3639

---

4
Lattice="-0.3487 -2.9772 1.7678 -1.2009 -2.8454 -1.6037 11.0193 -5.0967 -2.9844" Properties=species:S:1:pos:R:3 comment="PrPuTh2, relaxed, DFT PBE" e_form_kj_per_mol_atoms=27.1 de_polymorph_mev_per_atom=154 pbc="T T T"
Pr 0.0000 0.0000 0.0000
Th 7.8773 -4.2372 -2.1566
Th 1.5924 -6.6822 -0.6637
Pu 4.7348 -5.4597 -1.4102

---

3
Lattice="3.3073 0.0000 0.0000 0.0000 5.7603 0.0000 0.0000 -2.8801 4.9885" Properties=species:S:1:pos:R:3 comment="PrPuTh, relaxed, DFT PBE" e_form_kj_per_mol_atoms=28.6 de_polymorph_mev_per_atom=163 pbc="T T T"
Pr 0.5531 2.8801 1.6628
Th 0.5492 0.0000 0.0000
Pu 2.2050 0.0000 3.3257

---

3
Lattice="-3.0442 -1.0412 1.5177 -0.9143 -1.6905 -2.9935 5.3173 -4.8023 3.2017" Properties=species:S:1:pos:R:3 comment="PrPuTh, relaxed, DFT PBE" e_form_kj_per_mol_atoms=12.9 de_polymorph_mev_per_atom=0 pbc="T T T"
Pr -0.8561 -3.4412 0.0911
Th 2.2749 -4.2035 1.6791
Pu 1.2989 -7.4233 1.6817

---

4
Lattice="4.9052 0.0000 0.0000 0.0000 5.0451 0.0000 0.0000 0.0000 5.0451" Properties=species:S:1:pos:R:3 comment="PrPuTh2, relaxed, DFT PBE" e_form_kj_per_mol_atoms=13.3 de_polymorph_mev_per_atom=12 pbc="T T T"
Pr 2.4526 2.5226 2.5226
Th 0.0000 0.0000 2.5226
Th 0.0000 2.5226 0.0000
Pu 2.4526 0.0000 0.0000

---

4
Lattice="3.5601 0.0000 0.0000 1.7801 3.0831 0.0000 1.7801 1.0277 11.5890" Properties=species:S:1:pos:R:3 comment="PrPuTh2, relaxed, DFT PBE" e_form_kj_per_mol_atoms=13.2 de_polymorph_mev_per_atom=10 pbc="T T T"
Pr 3.5601 2.0554 5.8531
Pu 5.3402 3.0831 11.5336
Th 1.7801 1.0277 8.8396
Th 1.7801 1.0277 2.7461

---

6
Lattice="-2.7050 0.2934 2.2390 3.0243 -1.4875 3.8485 3.9360 8.5949 3.6291" Properties=species:S:1:pos:R:3 comment="PrPuTh, relaxed, DFT PBE" e_form_kj_per_mol_atoms=14.5 de_polymorph_mev_per_atom=17 pbc="T T T"
Th 2.8453 7.0714 3.8973
Th 1.4100 0.3293 5.8193
Pu 1.0185 0.0333 2.6125
Pu 3.2368 7.3675 7.1041
Pr 2.4470 4.3245 6.5486
Pr 1.8084 3.0762 3.1680

---

4
Lattice="4.1474 0.0000 0.0000 2.0737 3.5918 0.0000 2.0737 1.1973 9.2831" Properties=species:S:1:pos:R:3 comment="PrPu2Th, relaxed, DFT PBE" e_form_kj_per_mol_atoms=99.8 de_polymorph_mev_per_atom=842 pbc="T T T"
Pr 0.0000 0.0000 0.0000
Th 4.1474 2.3945 4.6415
Pu 2.0737 1.1973 6.2103
Pu 6.2211 3.5918 3.0728